[1]
{"formula": "Pb4SeS3", "functional": "GGA-PBEsol", "state": "relaxed", "cell": [[-0.463, -0.090, 4.173], [-1.676, -3.375, 1.854], [11.773, -6.661, 3.276]], "species": ["Pb", "Pb", "Pb", "Pb", "Se", "S", "S", "S"], "frac_coords": [[0.874, 0.874, 0.377], [0.126, 0.126, 0.623], [0.377, 0.377, 0.868], [0.623, 0.623, 0.132], [0.000, 0.000, 0.000], [0.248, 0.248, 0.255], [0.500, 0.500, 0.500], [0.752, 0.752, 0.745]], "e_form_raw_mev_per_atom": -533}

---

[2]
{"formula": "KSr2Te", "functional": "GGA-PBEsol", "state": "relaxed", "cell": [[-2.786, -0.600, -3.252], [4.228, -4.334, -2.509], [-3.361, -1.883, 5.946]], "species": ["K", "Sr", "Sr", "Te"], "frac_coords": [[0.500, 0.000, 0.000], [0.500, 0.500, 0.500], [0.000, 0.000, 0.500], [0.000, 0.500, 0.000]], "e_form_raw_mev_per_atom": -364}

---

[3]
{"formula": "BeCdTcTe2", "functional": "GGA-PBEsol", "state": "relaxed", "cell": [[-1.089, 1.777, 3.789], [-5.256, 0.290, -1.647], [-0.931, -5.020, 2.086]], "species": ["Be", "Te", "Te", "Tc", "Cd"], "frac_coords": [[0.500, 0.000, 0.000], [0.000, 0.000, 0.500], [0.000, 0.500, 0.000], [0.500, 0.500, 0.500], [0.000, 0.000, 0.000]], "e_form_raw_mev_per_atom": 1472}

---

[4]
{"formula": "MgTi2Se2", "functional": "GGA-PBEsol", "state": "relaxed", "cell": [[-2.033, 1.407, -3.136], [-2.285, -3.275, 0.012], [-1.757, 3.679, 5.332]], "species": ["Mg", "Se", "Se", "Ti", "Ti"], "frac_coords": [[0.000, 0.000, 0.000], [0.380, 0.380, 0.759], [0.620, 0.620, 0.241], [0.250, 0.750, 0.500], [0.750, 0.250, 0.500]], "e_form_raw_mev_per_atom": -647}

---

[5]
{"formula": "CdAgAs2", "functional": "GGA-PBEsol", "state": "relaxed", "cell": [[-2.371, -0.394, 1.618], [1.065, -4.983, 0.347], [3.446, 3.468, 3.301]], "species": ["As", "As", "Ag", "Cd"], "frac_coords": [[0.233, 0.207, 0.466], [0.767, 0.793, 0.534], [0.500, 0.000, 0.000], [0.000, 0.500, 0.000]], "formation_energy_ev_per_atom": 0.180}

---

[6]
{"formula": "K3Nb8O10F4", "functional": "GGA-PBEsol", "state": "relaxed", "cell": [[-1.128, -1.283, -3.784], [-3.557, -1.468, 1.558], [-9.537, 19.209, -3.672]], "species": ["K", "K", "K", "Nb", "Nb", "Nb", "Nb", "Nb", "Nb", "Nb", "Nb", "O", "O", "O", "O", "O", "O", "O", "O", "O", "O", "F", "F", "F", "F"], "frac_coords": [[0.500, 0.500, 0.686], [0.500, 0.500, 0.303], [0.000, 0.000, 0.815], [0.000, 0.000, 0.595], [0.000, 0.000, 0.408], [0.000, 0.500, 0.999], [0.500, 0.000, 0.999], [0.500, 0.500, 0.906], [0.500, 0.500, 0.097], [0.000, 0.500, 0.502], [0.500, 0.000, 0.502], [0.000, 0.500, 0.600], [0.500, 0.000, 0.600], [0.000, 0.500, 0.406], [0.500, 0.000, 0.406], [0.500, 0.500, 0.503], [0.500, 0.000, 0.901], [0.000, 0.500, 0.901], [0.500, 0.000, 0.094], [0.000, 0.500, 0.094], [0.000, 0.000, 0.998], [0.000, 0.000, 0.695], [0.000, 0.000, 0.313], [0.500, 0.500, 0.806], [0.500, 0.500, 0.189]], "e_form_raw_mev_per_atom": -2376}

---

[7]
{"formula": "Hf3HgC", "functional": "GGA-PBEsol", "state": "relaxed", "cell": [[-4.317, -0.766, -0.735], [0.887, -4.294, -0.736], [-0.583, -0.861, 4.322]], "species": ["C", "Hf", "Hf", "Hf", "Hg"], "frac_coords": [[0.000, 0.000, 0.000], [0.000, 0.500, 0.000], [0.000, 0.000, 0.500], [0.500, 0.000, 0.000], [0.500, 0.500, 0.500]], "formation_energy_ev_per_atom": -0.538}

---

[8]
{"formula": "BeAu2Se", "functional": "GGA-PBEsol", "state": "relaxed", "cell": [[-2.627, -0.537, -0.904], [0.511, -4.790, 1.358], [-1.842, 2.939, 3.607]], "species": ["Be", "Au", "Au", "Se"], "frac_coords": [[0.500, 0.000, 0.000], [0.000, 0.500, 0.000], [0.000, 0.000, 0.500], [0.500, 0.500, 0.500]], "e_form_raw_mev_per_atom": 363}

---

[9]
{"formula": "YTe2Rh", "functional": "GGA-PBEsol", "state": "relaxed", "cell": [[4.690, 0.219, 0.176], [-1.119, 4.560, 0.176], [-1.488, -1.992, 4.366]], "species": ["Rh", "Te", "Te", "Y"], "frac_coords": [[0.000, 0.000, 0.500], [0.500, 0.000, 0.000], [0.000, 0.500, 0.000], [0.500, 0.500, 0.500]], "e_form_raw_mev_per_atom": -393}

---

[10]
{"formula": "Cu2PRu", "functional": "GGA-PBEsol", "state": "relaxed", "cell": [[3.481, 0.000, 0.000], [0.000, 3.480, 0.000], [0.000, 0.000, 3.937]], "species": ["Cu", "Cu", "P", "Ru"], "frac_coords": [[0.000, 0.000, 0.000], [0.500, 0.500, 0.000], [0.500, 0.000, 0.500], [0.000, 0.500, 0.500]], "formation_energy_ev_per_atom": 0.031}

---

[11]
{"formula": "MgSn5", "functional": "GGA-PBEsol", "state": "relaxed", "cell": [[-0.185, 4.142, -3.338], [1.601, -3.421, -4.334], [-5.579, 0.711, 1.191]], "species": ["Mg", "Sn", "Sn", "Sn", "Sn", "Sn"], "frac_coords": [[0.500, 0.000, 0.000], [0.000, 0.327, 0.327], [0.000, 0.673, 0.000], [0.000, 0.000, 0.673], [0.500, 0.333, 0.667], [0.500, 0.667, 0.333]], "formation_energy_ev_per_atom": -0.020}

---

[12]
{"formula": "RePb2Br", "functional": "GGA-PBEsol", "state": "relaxed", "cell": [[-1.136, 2.482, -1.849], [0.944, 0.278, -3.146], [-7.666, -4.622, -4.435]], "species": ["Pb", "Pb", "Re", "Br"], "frac_coords": [[0.000, 0.000, 0.999], [0.765, 0.765, 0.706], [0.504, 0.504, 0.487], [0.231, 0.231, 0.308]], "e_form_raw_mev_per_atom": 592}

---

[13]
{"formula": "OsSeOF2", "functional": "GGA-PBEsol", "state": "relaxed", "cell": [[-3.120, 0.907, -1.722], [-0.935, -4.406, -0.627], [-2.217, -0.094, 3.969]], "species": ["Os", "O", "Se", "F", "F"], "frac_coords": [[0.500, 0.500, 0.500], [0.500, 0.000, 0.000], [0.000, 0.000, 0.000], [0.000, 0.000, 0.500], [0.000, 0.500, 0.000]], "e_form_raw_mev_per_atom": 721}

---

[14]
{"formula": "ScFePt", "functional": "GGA-PBEsol", "state": "relaxed", "cell": [[-1.457, 0.828, 2.365], [2.051, -2.039, 0.201], [4.379, 4.516, 1.116]], "species": ["Fe", "Pt", "Sc"], "frac_coords": [[0.000, 0.000, 0.996], [0.667, 0.333, 0.676], [0.333, 0.667, 0.328]], "formation_energy_ev_per_atom": -0.104}

---

[15]
{"formula": "BaCaF2", "functional": "GGA-PBEsol", "state": "relaxed", "cell": [[-0.332, 3.359, 2.771], [1.693, -0.305, 4.015], [5.887, 3.302, 0.145]], "species": ["Ca", "Ba", "F", "F"], "frac_coords": [[0.000, 0.000, 0.000], [0.500, 0.500, 0.500], [0.882, 0.882, 0.355], [0.118, 0.118, 0.645]], "e_form_raw_mev_per_atom": -2890}

---

[16]
{"formula": "Y2C", "functional": "GGA-PBEsol", "state": "relaxed", "cell": [[3.570, 0.000, 0.000], [0.000, 5.922, 0.000], [0.000, 0.000, 5.989]], "species": ["Y", "Y", "Y", "Y", "C", "C"], "frac_coords": [[0.000, 0.275, 0.680], [0.000, 0.725, 0.320], [0.500, 0.775, 0.820], [0.500, 0.225, 0.180], [0.000, 0.000, 0.000], [0.500, 0.500, 0.500]], "formation_energy_ev_per_atom": -0.235}

---

[17]
{"formula": "Li3ZnPd", "functional": "GGA-PBEsol", "state": "relaxed", "cell": [[4.641, 0.000, 0.000], [0.000, 4.641, 0.000], [0.000, 0.000, 4.641]], "species": ["Zn", "Pd", "Li", "Li", "Li"], "frac_coords": [[0.500, 0.500, 0.500], [0.000, 0.000, 0.000], [0.000, 0.500, 0.000], [0.000, 0.000, 0.500], [0.500, 0.000, 0.000]], "formation_energy_ev_per_atom": 0.169}

---

[18]
{"formula": "TiReBi2C", "functional": "GGA-PBEsol", "state": "relaxed", "cell": [[4.566, 0.000, 0.000], [0.000, 5.227, 0.000], [0.000, 0.000, 5.227]], "species": ["Re", "C", "Bi", "Bi", "Ti"], "frac_coords": [[0.500, 0.000, 0.000], [0.500, 0.500, 0.500], [0.000, 0.000, 0.500], [0.000, 0.500, 0.000], [0.000, 0.000, 0.000]], "formation_energy_ev_per_atom": 2.342}

---

[19]
{"formula": "Zr4Ni3As8", "functional": "GGA-PBEsol", "state": "relaxed", "cell": [[-1.141, -3.075, 1.893], [2.769, 0.530, 2.529], [-10.654, 9.861, 9.599]], "species": ["Zr", "Zr", "Zr", "Zr", "Ni", "Ni", "Ni", "As", "As", "As", "As", "As", "As", "As", "As"], "frac_coords": [[0.500, 0.000, 0.123], [0.500, 0.000, 0.633], [0.000, 0.500, 0.877], [0.000, 0.500, 0.367], [0.500, 0.500, 0.500], [0.000, 0.000, 0.000], [0.000, 0.000, 0.500], [0.500, 0.000, 0.929], [0.500, 0.000, 0.419], [0.000, 0.500, 0.071], [0.000, 0.500, 0.581], [0.500, 0.500, 0.755], [0.500, 0.500, 0.245], [0.000, 0.000, 0.755], [0.000, 0.000, 0.245]], "formation_energy_ev_per_atom": -0.835}

---

[20]
{"formula": "Ag2Sb", "functional": "GGA-PBEsol", "state": "relaxed", "cell": [[3.512, 0.000, 0.000], [0.000, 3.512, 0.000], [-1.756, -1.756, 10.341]], "species": ["Ag", "Ag", "Ag", "Ag", "Sb", "Sb"], "frac_coords": [[0.824, 0.324, 0.649], [0.426, 0.426, 0.851], [0.676, 0.176, 0.351], [0.574, 0.574, 0.149], [0.250, 0.750, 0.500], [0.000, 0.000, 0.000]], "e_form_raw_mev_per_atom": 249}

---

DFT total energy: -4.66 -2.45 -3.23 -5.86 -3.50 -8.38 -8.88 -3.56 -5.90 -6.13 -3.86 -5.21 -4.31 -7.61 -4.92 -8.00 -2.52 -5.63 -7.21 -3.48 (eV/atom)
Theoretical density: 8.0 3.4 6.0 4.8 8.0 4.9 14.1 12.3 7.6 9.0 6.7 12.2 7.1 10.6 3.5 5.0 3.2 8.8 7.6 8.8 (g/cm³)